La5Sn3 | PBEsol | optimized geometry

Values from the calculation:
- formation energy from the elements (eV/atom) = -0.691
- VASP energy (eV per atom) = -5.63
- crystal system = hexagonal
- excess energy over the best structure of this formula in the dataset (eV/atom) = 0.032

Lattice parameters (Å, degrees): 9.4534 9.4534 6.7514 90.00 90.00 120.00
Positions (direct):
La 0.0000 0.2510 0.2500
La 0.0000 0.7490 0.7500
La 0.2510 0.0000 0.2500
La 0.2510 0.2510 0.7500
La 0.3333 0.6667 0.0000
La 0.3333 0.6667 0.5000
La 0.6667 0.3333 0.0000
La 0.6667 0.3333 0.5000
La 0.7490 0.0000 0.7500
La 0.7490 0.7490 0.2500
Sn 0.0000 0.3890 0.7500
Sn 0.0000 0.6110 0.2500
Sn 0.3890 0.0000 0.7500
Sn 0.3890 0.3890 0.2500
Sn 0.6110 0.0000 0.2500
Sn 0.6110 0.6110 0.7500